## AlB2Mo4 (GGA-PBE)

Data for a relaxed AlB2Mo4 crystal.

Lattice parameters (Å, degrees): 3.037 3.037 12.018 82.74 82.74 60.00
Atoms (fractional coordinates):
Al  0.500  0.500  0.500
B  0.598  0.598  0.206
B  0.402  0.402  0.794
Mo  0.699  0.699  0.902
Mo  0.896  0.896  0.312
Mo  0.301  0.301  0.098
Mo  0.104  0.104  0.688

Values from the calculation:
- Energy of formation from the pure elements: -0.98 eV/f.u.
- Final energy: -8.772 eV/atom
- DOS at the Fermi energy: 0.7297 states/eV per atom
- Magnetic moment: 0.0 μB per formula unit
- Volume: 13.56 Å³ per atom
- Space group: R-3m, No. 166

***

## CuRuBr2 (GGA-PBE)

Data for a relaxed CuRuBr2 crystal.

Lattice parameters (Å, degrees): 5.877 5.877 7.161 65.78 65.78 90.00
Last column: magnetic moment on the atom in μB.
Atoms (fractional coordinates):
Ru  0.000  0.000  0.000  2.34
Ru  0.750  0.250  0.500  2.33
Cu  0.500  0.500  0.000  0.09
Cu  0.250  0.750  0.500  0.09
Br  0.604  0.125  0.250  0.10
Br  0.146  0.625  0.250  0.10
Br  0.375  0.396  0.750  0.10
Br  0.875  0.854  0.750  0.10

Values from the calculation:
- Final energy: -3.683 eV/atom
- DOS at the Fermi energy: 0.0000 states/eV per atom
- Magnetic moment: 3.0 μB per formula unit
- Relative energy among the computed polymorphs: 243 meV/atom
- E_form (uncorrected): 497 meV per atom
- Volume: 25.18 Å³ per atom
- Space group: I-42d, No. 122

***

## PmMn2Te4 (GGA-PBE)

Data for a relaxed PmMn2Te4 crystal.

Lattice parameters (Å, degrees): 7.480 7.469 9.432 121.93 107.70 87.09
Last column: magnetic moment on the atom in μB.
Atoms (fractional coordinates):
Pm  0.166  0.516  0.437  0.11
Pm  0.170  0.021  0.937  0.11
Mn  0.563  0.365  0.923  4.06
Mn  0.808  0.111  0.423  4.05
Mn  0.635  0.424  0.294  3.78
Mn  0.120  0.408  0.794  3.79
Te  0.854  0.113  0.138  0.03
Te  0.297  0.520  0.143  0.01
Te  0.873  0.595  0.642  0.01
Te  0.818  0.171  0.744  -0.05
Te  0.430  0.155  0.320  0.03
Te  0.275  0.034  0.639  0.03
Te  0.415  0.640  0.820  0.03
Te  0.824  0.677  0.245  -0.05

Values from the calculation:
- Final energy: -5.620 eV/atom
- DOS at the Fermi energy: 0.3945 states/eV per atom
- Magnetic moment: 8.8 μB per formula unit
- E_form (uncorrected): -527 meV per atom
- Volume: 30.15 Å³ per atom
- Space group: P1, No. 1

***

## Ba3As3Pt2 (GGA-PBE)

Data for a relaxed Ba3As3Pt2 crystal.

Lattice parameters (Å, degrees): 4.533 6.616 15.749 90.00 90.00 110.03
Atoms (fractional coordinates):
Ba  0.921  0.842  0.396
Ba  0.079  0.158  0.896
Ba  0.921  0.842  0.104
Ba  0.079  0.158  0.604
Ba  0.637  0.273  0.250
Ba  0.363  0.727  0.750
As  0.658  0.316  0.461
As  0.342  0.684  0.961
As  0.658  0.316  0.039
As  0.342  0.684  0.539
As  0.324  0.647  0.250
As  0.676  0.353  0.750
Pt  0.783  0.567  0.904
Pt  0.217  0.433  0.404
Pt  0.783  0.567  0.596
Pt  0.217  0.433  0.096

Values from the calculation:
- Energy of formation from the pure elements: -7.22 eV/f.u.
- Final energy: -4.877 eV/atom
- DOS at the Fermi energy: 0.6087 states/eV per atom
- Magnetic moment: 0.0 μB per formula unit
- Relative energy among the computed polymorphs: 61 meV/atom
- Volume: 27.73 Å³ per atom
- Space group: Cmcm, No. 63

***

## BiSb2TeAu (GGA-PBE)

Data for a relaxed BiSb2TeAu crystal.

Lattice parameters (Å, degrees): 5.371 5.371 5.510 90.00 90.00 90.00
Atoms (fractional coordinates):
Sb  0.000  0.500  0.000
Sb  0.500  0.000  0.000
Te  0.000  0.000  0.500
Au  0.000  0.000  0.000
Bi  0.500  0.500  0.500

Values from the calculation:
- Final energy: -3.228 eV/atom
- DOS at the Fermi energy: 1.2816 states/eV per atom
- Magnetic moment: 0.0 μB per formula unit
- Relative energy among the computed polymorphs: 0 meV/atom
- E_form (uncorrected): 481 meV per atom
- Volume: 31.80 Å³ per atom
- Space group: P4/mmm, No. 123

***

## Tb3Sm2Dy6Y (GGA-PBE)

Data for a relaxed Tb3Sm2Dy6Y crystal.

Lattice parameters (Å, degrees): 6.171 6.171 11.806 94.97 94.97 119.95
Atoms (fractional coordinates):
Tb  0.167  0.833  0.500
Tb  0.833  0.167  0.500
Tb  0.500  0.500  0.500
Sm  0.333  0.667  0.000
Sm  0.667  0.333  0.000
Dy  0.916  0.582  0.749
Dy  0.751  0.751  0.252
Dy  0.084  0.418  0.251
Dy  0.582  0.916  0.749
Dy  0.249  0.249  0.748
Dy  0.418  0.084  0.251
Y  0.000  0.000  0.000

Values from the calculation:
- Energy of formation from the pure elements: 0.18 eV/f.u.
- Final energy: -4.769 eV/atom
- DOS at the Fermi energy: 1.2836 states/eV per atom
- Magnetic moment: 0.0 μB per formula unit
- Volume: 31.97 Å³ per atom
- Space group: C2/m, No. 12

***

## CaU2Sn9 (GGA-PBE)

Data for a relaxed CaU2Sn9 crystal.

Lattice parameters (Å, degrees): 4.661 4.661 14.107 90.00 90.00 90.00
Last column: magnetic moment on the atom in μB.
Atoms (fractional coordinates):
Ca  0.000  0.000  0.000  -0.01
U  0.000  0.000  0.339  2.24
U  0.000  0.000  0.661  2.24
Sn  0.500  0.500  0.000  0.02
Sn  0.500  0.500  0.335  -0.01
Sn  0.500  0.500  0.665  -0.01
Sn  0.500  0.000  0.171  0.01
Sn  0.500  0.000  0.500  -0.02
Sn  0.500  0.000  0.829  0.01
Sn  0.000  0.500  0.171  0.01
Sn  0.000  0.500  0.500  -0.02
Sn  0.000  0.500  0.829  0.01

Values from the calculation:
- Energy of formation from the pure elements: -2.49 eV/f.u.
- Final energy: -5.258 eV/atom
- DOS at the Fermi energy: 1.4883 states/eV per atom
- Magnetic moment: 4.9 μB per formula unit
- Volume: 25.54 Å³ per atom
- Space group: P4/mmm, No. 123

***

## Pm3Ho3Tm2 (GGA-PBE)

Data for a relaxed Pm3Ho3Tm2 crystal.

Lattice parameters (Å, degrees): 5.035 5.041 10.685 103.64 103.63 90.00
Atoms (fractional coordinates):
Pm  0.126  0.126  0.252
Pm  0.000  0.500  0.000
Pm  0.874  0.874  0.748
Ho  0.627  0.627  0.254
Ho  0.373  0.373  0.746
Ho  0.500  0.000  0.000
Tm  0.751  0.251  0.501
Tm  0.249  0.749  0.499

Values from the calculation:
- Energy of formation from the pure elements: 0.18 eV/f.u.
- Final energy: -4.593 eV/atom
- DOS at the Fermi energy: 1.4684 states/eV per atom
- Magnetic moment: 0.0 μB per formula unit
- Relative energy among the computed polymorphs: 0 meV/atom
- Volume: 31.96 Å³ per atom
- Space group: Immm, No. 71

***

- What is the DOS at the Fermi energy in the fourth record?
  0.6087 states/eV per atom